(1)
The following is a PBE calculation of a relaxed Rb2Np3Se8 crystal, from Alexandria via LeMat-Bulk.

Structure (POSCAR):
```
Rb2Np3Se8
1.0
4.679 0.000 0.000
0.000 8.935 -5.135
0.000 -0.212 9.974
Rb Se Np
2 8 3
Direct
0.500 0.256 0.513
0.500 0.744 0.487
0.500 0.858 0.191
0.000 0.399 0.799
0.000 0.601 0.201
0.500 0.333 0.191
0.000 0.905 0.810
0.000 0.095 0.190
0.500 0.142 0.809
0.500 0.667 0.809
0.000 0.291 0.000
0.000 0.709 0.000
0.500 0.000 0.000
```

Properties
SG ... No. 65
Formation energy (no corrections) ... -1230 kJ/mol of formula units
ΔE to the lowest computed polymorph ... 76 meV per atom

---

(2)
The following is a PBE calculation of a relaxed KScZn crystal, from Alexandria via LeMat-Bulk.

Structure (POSCAR):
```
KScZn
1.0
-7.060 2.512 -1.228
-7.319 0.788 1.863
-0.088 3.102 1.722
K Sc Zn
1 1 1
Direct
0.018 0.018 0.982
0.284 0.284 0.716
0.698 0.698 0.302
```

Properties
SG ... No. 107
Formation enthalpy at 0 K ... 165.9 meV per atom
ΔE to the lowest computed polymorph ... 0 meV per atom

---

(3)
The following is a PBE calculation of a relaxed LiCeZn3 crystal, from Alexandria via LeMat-Bulk.

Structure (POSCAR):
```
LiCeZn3
1.0
-2.259 -0.465 3.684
1.870 -3.681 0.682
7.902 6.982 3.185
Zn Ce Li
6 2 2
Direct
0.465 0.712 0.424
0.280 0.030 0.060
0.535 0.288 0.576
0.042 0.790 0.579
0.720 0.970 0.940
0.958 0.210 0.421
0.160 0.410 0.820
0.840 0.590 0.180
0.603 0.852 0.703
0.397 0.148 0.297
```

Properties
SG ... No. 12
Formation enthalpy at 0 K ... -96.1 meV per atom

---

(4)
The following is a PBE calculation of a relaxed TaIr4Br crystal, from Alexandria via LeMat-Bulk.

Structure (POSCAR):
```
TaIr4Br
1.0
-3.519 -3.758 0.966
-2.921 0.201 4.344
-5.120 1.057 -0.333
Br Ir Ta
1 4 1
Direct
0.000 0.000 0.000
0.375 0.874 0.375
0.874 0.375 0.375
0.375 0.375 0.874
0.375 0.375 0.375
0.750 0.750 0.750
```

Properties
SG ... No. 216
Formation energy (no corrections) ... 332 kJ/mol of formula units